No. 1
# GGA-PBE NbZnAs2, relaxed
data_NbZnAs2
_chemical_formula_sum 'Nb4 Zn4 As8'
_cell_length_a 5.917
_cell_length_b 5.917
_cell_length_c 11.238
_cell_angle_alpha 90.00
_cell_angle_beta 90.00
_cell_angle_gamma 90.00
_symmetry_space_group_name_H-M 'P 1'
_symmetry_Int_Tables_number 1
loop_
_symmetry_equiv_pos_as_xyz
'x,y,z'
loop_
_atom_site_label
_atom_site_type_symbol
_atom_site_fract_x
_atom_site_fract_y
_atom_site_fract_z
Nb1 Nb 0.000 0.000 0.000
Nb2 Nb 0.000 0.500 0.250
Nb3 Nb 0.500 0.000 0.750
Nb4 Nb 0.500 0.500 0.500
Zn1 Zn 0.000 0.000 0.500
Zn2 Zn 0.000 0.500 0.750
Zn3 Zn 0.500 0.000 0.250
Zn4 Zn 0.500 0.500 0.000
As1 As 0.248 0.250 0.625
As2 As 0.250 0.748 0.875
As3 As 0.250 0.752 0.375
As4 As 0.252 0.250 0.125
As5 As 0.748 0.750 0.125
As6 As 0.750 0.248 0.375
As7 As 0.750 0.252 0.875
As8 As 0.752 0.750 0.625
# Total magnetization in μB/f.u.: 0.82
# Space group: I-42d, No. 122
# Total DFT energy (no corrections) in eV/cell: -81.9
# ΔH_f (0 K) in eV per atom: 0.045
# Calculated density in g/cm3: 5.20

=====

No. 2
# GGA-PBE Ba2Cd2InHg4, relaxed
data_Ba2Cd2InHg4
_chemical_formula_sum 'Ba2 Cd2 In1 Hg4'
_cell_length_a 7.264
_cell_length_b 7.264
_cell_length_c 7.264
_cell_angle_alpha 116.99
_cell_angle_beta 116.99
_cell_angle_gamma 95.30
_symmetry_space_group_name_H-M 'P 1'
_symmetry_Int_Tables_number 1
loop_
_symmetry_equiv_pos_as_xyz
'x,y,z'
loop_
_atom_site_label
_atom_site_type_symbol
_atom_site_fract_x
_atom_site_fract_y
_atom_site_fract_z
Ba1 Ba 0.250 0.750 0.500
Ba2 Ba 0.750 0.250 0.500
Cd1 Cd 0.200 0.200 0.000
Cd2 Cd 0.800 0.800 0.000
In1 In 0.500 0.500 0.000
Hg1 Hg 0.221 0.221 0.441
Hg2 Hg 0.221 0.779 0.000
Hg3 Hg 0.779 0.221 0.000
Hg4 Hg 0.779 0.779 0.559
# Total magnetization in μB/f.u.: 0.00
# Space group: I4/mmm, No. 139
# Total DFT energy (no corrections) in eV/cell: -12.4
# ΔH_f (0 K) in eV per atom: -0.304
# Calculated density in g/cm3: 8.34